A plane-wave DFT calculation with PBE-GGA was carried out for an optimized crystal structure of LiCd4Tc4O12.

## Properties
The space group is P1. The calculation puts the energy above the most stable polymorph in this dataset at 0.0 meV per atom. The total energy comes out at -6.178 eV per atom. The value obtained for the formation energy without anion corrections is -1.105 eV/atom.

The structure in POSCAR format:
```
LiCd4Tc4O12
1.0
5.441 0.000 0.000
-0.002 5.746 0.000
-0.046 -0.287 7.899
Li Cd Tc O
1 4 4 12
Direct
0.000 0.000 0.000
0.118 0.166 0.404
0.170 0.324 0.869
0.597 0.768 0.909
0.656 0.664 0.408
0.135 0.731 0.652
0.137 0.696 0.168
0.626 0.213 0.157
0.642 0.221 0.653
0.016 0.696 0.907
0.250 0.755 0.408
0.332 0.996 0.096
0.337 0.024 0.713
0.423 0.492 0.091
0.446 0.529 0.703
0.523 0.257 0.405
0.757 0.183 0.905
0.839 0.920 0.212
0.839 0.928 0.592
0.924 0.420 0.223
0.944 0.423 0.600
```

A plane-wave DFT calculation with PBE-GGA was carried out for an optimized crystal structure of CrSb2OsI.

## Properties
The space group is P4/mmm. The calculation puts the energy above the most stable polymorph in this dataset at 533.7 meV per atom. The total energy comes out at -4.650 eV per atom. The value obtained for the formation energy without anion corrections is 1.480 eV/atom.

The structure in POSCAR format:
```
CrSb2OsI
1.0
5.070 0.000 0.000
0.000 5.070 0.000
0.000 0.000 5.209
Cr Sb Os I
1 2 1 1
Direct
0.000 0.000 0.000
0.000 0.500 0.000
0.500 0.000 0.000
0.500 0.500 0.500
0.000 0.000 0.500
```

A plane-wave DFT calculation with PBE-GGA was carried out for an optimized crystal structure of Zn2ReSe.

## Properties
The space group is P4/mmm. The calculation puts the energy above the most stable polymorph in this dataset at 220.7 meV per atom. The total energy comes out at -4.207 eV per atom. The value obtained for the formation energy without anion corrections is 0.413 eV/atom.

The structure in POSCAR format:
```
Zn2ReSe
1.0
3.464 0.000 0.000
0.000 3.464 0.000
0.000 0.000 5.192
Zn Re Se
2 1 1
Direct
0.000 0.000 0.237
0.000 0.000 0.763
0.500 0.500 0.000
0.500 0.500 0.500
```

A plane-wave DFT calculation with PBE-GGA was carried out for an optimized crystal structure of Li2PaSN2.

## Properties
The space group is P2_1/m. The total energy comes out at -6.679 eV per atom. The value obtained for the formation energy without anion corrections is -0.995 eV/atom.

The structure in POSCAR format:
```
Li2PaSN2
1.0
5.709 0.000 0.000
0.000 4.808 0.000
-0.730 0.000 6.512
Li Pa S N
4 2 2 4
Direct
0.052 0.250 0.054
0.166 0.750 0.649
0.834 0.250 0.351
0.948 0.750 0.946
0.463 0.750 0.188
0.537 0.250 0.812
0.273 0.250 0.406
0.727 0.750 0.594
0.269 0.512 0.922
0.269 0.988 0.922
0.731 0.012 0.078
0.731 0.488 0.078
```